First-principles (PBE) data for a relaxed structure of Ce4Al5Si2, as listed in Alexandria.

Output
Density of states at the Fermi level ... 19.6 states/eV/f.u.
Theoretical density ... 4.991 g cm⁻³
Raw formation energy ... -0.420 eV per atom
Total magnetization ... 2.28 μB per formula unit

Lattice parameters (Å, degrees): 4.5080 6.9377 7.9956 90.39 90.00 90.00
Fractional positions:
1 Ce 0.5000 0.2440 0.3967
2 Ce 0.5000 0.2108 0.8596
3 Ce 0.5000 0.7892 0.1404
4 Si 0.0000 0.9209 0.3705
5 Si 0.0000 0.0791 0.6295
6 Ce 0.5000 0.7560 0.6033
7 Al 0.0000 0.8638 0.8769
8 Al 0.0000 0.5000 0.0000
9 Al 0.0000 0.5585 0.3405
10 Al 0.0000 0.1362 0.1231
11 Al 0.0000 0.4415 0.6595